Record 1
The following is a PBE calculation of crystalline Fe5IrRh4 at its relaxed geometry, from the Alexandria database.

Unit cell a=3.068 b=3.068 c=14.365 alpha=90.00 beta=90.00 gamma=90.00
Space group P4/mmm (No. 123)
Symmetry-distinct sites (fractional):
Fe 0.000 0.000 0.000
Fe 0.000 0.000 0.199
Fe 0.000 0.000 0.397
Ir 0.500 0.500 0.500
Rh 0.500 0.500 0.100
Rh 0.500 0.500 0.299

Record 2
The following is a PBE calculation of crystalline FeIrRh2 at its relaxed geometry, from the Alexandria database.

Unit cell a=2.721 b=4.632 c=8.995 alpha=90.00 beta=90.00 gamma=90.00
Space group Cmmm (No. 65)
Symmetry-distinct sites (fractional):
Fe 0.000 0.000 0.000
Ir 0.000 0.000 0.500
Rh 0.000 0.500 0.240

Record 3
The following is a PBE calculation of crystalline Fe2IrRh at its relaxed geometry, from the Alexandria database.

Unit cell a=5.211 b=5.211 c=10.463 alpha=90.00 beta=90.00 gamma=90.00
Space group I-42d (No. 122)
Symmetry-distinct sites (fractional):
Fe 0.249 0.250 0.125
Ir 0.000 0.000 0.000
Rh 0.000 0.000 0.500

Record 4
The following is a PBE calculation of crystalline Fe2IrRh at its relaxed geometry, from the Alexandria database.

Unit cell a=2.6829 b=2.6829 c=25.5429 alpha=90.00 beta=90.00 gamma=120.00
Space group R3m (No. 160, hexagonal axes)
Symmetry-distinct sites (fractional):
Fe 0.0000 0.0000 0.0000
Fe 0.0000 0.0000 0.1666
Ir 0.0000 0.0000 0.4165
Rh 0.0000 0.0000 0.5836

Record 5
The following is a PBE calculation of crystalline FeIr12Rh3 at its relaxed geometry, from the Alexandria database.

Unit cell a=3.858 b=3.858 c=15.403 alpha=90.00 beta=90.00 gamma=90.00
Space group P4/mmm (No. 123)
Symmetry-distinct sites (fractional):
Fe 0.000 0.000 0.000
Ir 0.000 0.500 0.122
Ir 0.000 0.500 0.374
Ir 0.500 0.500 0.000
Ir 0.500 0.500 0.249
Ir 0.500 0.500 0.500
Rh 0.000 0.000 0.249
Rh 0.000 0.000 0.500

Record 6
The following is a PBE calculation of crystalline Fe6IrRh5 at its relaxed geometry, from the Alexandria database.

Unit cell a=3.797 b=7.245 c=11.425 alpha=90.00 beta=90.00 gamma=90.00
Space group Immm (No. 71)
Symmetry-distinct sites (fractional):
Fe 0.000 0.250 0.000
Fe 0.000 0.250 0.334
Ir 0.000 0.000 0.500
Rh 0.000 0.000 0.166
Rh 0.000 0.500 0.167
Rh 0.000 0.500 0.500

Number 1: energy of formation from the pure elements -30 meV/atom, magnetization 4.3 Bohr magnetons per cell. Number 2: energy of formation from the pure elements 191 meV/atom, magnetization 6.5 Bohr magnetons per cell. Number 3: energy of formation from the pure elements 1034 meV/atom, magnetization 0.0 Bohr magnetons per cell. Number 4: energy of formation from the pure elements 11 meV/atom, magnetization 16.2 Bohr magnetons per cell. Number 5: energy of formation from the pure elements -14 meV/atom, magnetization 2.5 Bohr magnetons per cell. Number 6: energy of formation from the pure elements -7 meV/atom, magnetization 32.1 Bohr magnetons per cell.